VASP calculation (PBE) on a relaxed structure of BaAg2Br6.

a = 14.932 Å, b = 5.471 Å, c = 8.637 Å
α = 90.00°, β = 111.18°, γ = 90.00°
Space group C2/m (No. 12)
Unique sites:
Ba: 0.000 0.000 0.000 (multiplicity 2)
Ag: 0.246 0.500 0.327 (multiplicity 4)
Br: 0.066 0.000 0.670 (multiplicity 4)
Br: 0.134 0.500 0.015 (multiplicity 4)
Br: 0.220 0.000 0.345 (multiplicity 4)

Computed properties:
Total energy (eV/cell): -49.68
V (A^3/atom): 36.550
Density (Mg/m³): 4.20
Uncorrected formation energy (eV/atom): -0.7973



VASP calculation (PBE) on a relaxed structure of Ce4BiPd15.

a = 4.158 Å, b = 4.158 Å, c = 20.748 Å
α = 90.00°, β = 90.00°, γ = 90.00°
Space group P4/mmm (No. 123)
Unique sites:
Ce: 0.000 0.000 0.100 (multiplicity 2)
Ce: 0.000 0.000 0.301 (multiplicity 2)
Bi: 0.000 0.000 0.500 (multiplicity 1)
Pd: 0.000 0.500 0.000 (multiplicity 2)
Pd: 0.000 0.500 0.200 (multiplicity 4)
Pd: 0.000 0.500 0.399 (multiplicity 4)
Pd: 0.500 0.500 0.100 (multiplicity 2)
Pd: 0.500 0.500 0.301 (multiplicity 2)
Pd: 0.500 0.500 0.500 (multiplicity 1)

Computed properties:
Total energy (eV/cell): -119.52
V (A^3/atom): 17.937
Calculated formation energy (eV/atom): -0.70
Density (Mg/m³): 10.95



VASP calculation (PBE) on a relaxed structure of Cd2Cl.

a = 11.456 Å, b = 5.378 Å, c = 4.789 Å
α = 90.00°, β = 90.00°, γ = 90.00°
Space group Cmcm (No. 63)
Unique sites:
Cd: 0.181 0.176 0.250 (multiplicity 8)
Cl: 0.000 0.248 0.750 (multiplicity 4)

Computed properties:
Total energy (eV/cell): -18.30
V (A^3/atom): 24.584
Density (Mg/m³): 5.86
Uncorrected formation energy (eV/atom): -0.2996



VASP calculation (PBE) on a relaxed structure of Pm6CdSe5.

a = 7.352 Å, b = 12.703 Å, c = 7.318 Å
α = 90.00°, β = 109.38°, γ = 90.00°
Space group C2/m (No. 12)
Unique sites:
Pm: 0.243 0.000 0.252 (multiplicity 4)
Pm: 0.244 0.171 0.745 (multiplicity 8)
Cd: 0.000 0.500 0.000 (multiplicity 2)
Se: 0.000 0.000 0.500 (multiplicity 2)
Se: 0.000 0.166 0.000 (multiplicity 4)
Se: 0.000 0.336 0.500 (multiplicity 4)

Computed properties:
Total energy (eV/cell): -131.23
V (A^3/atom): 26.865
Density (Mg/m³): 7.09
Uncorrected formation energy (eV/atom): -1.5643



VASP calculation (PBE) on a relaxed structure of LaBeBr2.

a = 4.751 Å, b = 4.751 Å, c = 8.780 Å
α = 90.00°, β = 90.00°, γ = 90.00°
Space group I4/mmm (No. 139)
Unique sites:
La: 0.000 0.000 0.000 (multiplicity 2)
Be: 0.000 0.000 0.500 (multiplicity 2)
Br: 0.000 0.500 0.250 (multiplicity 4)

Computed properties:
Total energy (eV/cell): -28.26
V (A^3/atom): 24.773
Density (Mg/m³): 5.16
Uncorrected formation energy (eV/atom): -0.5331